Entry 1
# LaCrRu3, optimized geometry, DFT PBE
# M_tot = 1.381 μB/f.u.
# calculated density = 7.4 g/cm³
data_LaCrRu3
_chemical_formula_sum 'La1 Cr1 Ru3'
_symmetry_space_group_name_H-M 'P 1'
_symmetry_Int_Tables_number 1
_symmetry_space_group_name_Hall 'P 1'
_cell_length_a 4.8037
_cell_length_b 4.8037
_cell_length_c 4.8037
_cell_angle_alpha 90.00
_cell_angle_beta 90.00
_cell_angle_gamma 90.00
loop_
_atom_site_label
_atom_site_fract_x
_atom_site_fract_y
_atom_site_fract_z
Ru1 0.0000 0.5000 0.0000
Ru2 0.0000 0.0000 0.5000
Ru3 0.5000 0.0000 0.0000
Cr1 0.5000 0.5000 0.5000
La1 0.0000 0.0000 0.0000

Entry 2
# LaCrRu3, optimized geometry, DFT PBE
# M_tot = 0.000 μB/f.u.
# calculated density = 8.8 g/cm³
data_LaCrRu3
_chemical_formula_sum 'La1 Cr1 Ru3'
_symmetry_space_group_name_H-M 'P 1'
_symmetry_Int_Tables_number 1
_symmetry_space_group_name_Hall 'P 1'
_cell_length_a 4.5431
_cell_length_b 4.5431
_cell_length_c 4.5431
_cell_angle_alpha 90.00
_cell_angle_beta 90.00
_cell_angle_gamma 90.00
loop_
_atom_site_label
_atom_site_fract_x
_atom_site_fract_y
_atom_site_fract_z
Ru1 0.0000 0.5000 0.0000
Ru2 0.0000 0.0000 0.5000
Ru3 0.5000 0.0000 0.0000
Cr1 0.0000 0.0000 0.0000
La1 0.5000 0.5000 0.5000

Relative calculated energies, zero for the most stable structure, unit eV/atom: entry 1 1.514; entry 2 0.000.

Entry 1
# LaCrRu, optimized geometry, DFT PBE
# M_tot = 1.784 μB/f.u.
# calculated density = 8.6 g/cm³
data_LaCrRu
_chemical_formula_sum 'La1 Cr1 Ru1'
_symmetry_space_group_name_H-M 'P 1'
_symmetry_Int_Tables_number 1
_symmetry_space_group_name_Hall 'P 1'
_cell_length_a 2.9860
_cell_length_b 2.9860
_cell_length_c 7.3012
_cell_angle_alpha 90.00
_cell_angle_beta 90.00
_cell_angle_gamma 120.00
loop_
_atom_site_label
_atom_site_fract_x
_atom_site_fract_y
_atom_site_fract_z
Cr1 0.0000 0.0000 0.9517
La1 0.6667 0.3333 0.3359
Ru1 0.3333 0.6667 0.7124

Entry 2
# LaCrRu, optimized geometry, DFT PBE
# M_tot = 4.411 μB/f.u.
# calculated density = 7.1 g/cm³
data_LaCrRu
_chemical_formula_sum 'La1 Cr1 Ru1'
_symmetry_space_group_name_H-M 'P 1'
_symmetry_Int_Tables_number 1
_symmetry_space_group_name_Hall 'P 1'
_cell_length_a 4.5882
_cell_length_b 4.5882
_cell_length_c 4.5882
_cell_angle_alpha 60.00
_cell_angle_beta 60.00
_cell_angle_gamma 60.00
loop_
_atom_site_label
_atom_site_fract_x
_atom_site_fract_y
_atom_site_fract_z
Cr1 0.5000 0.5000 0.5000
La1 0.2500 0.2500 0.2500
Ru1 0.0000 0.0000 0.0000

Relative calculated energies, zero for the most stable structure, unit eV/atom: entry 1 0.000; entry 2 0.382.

Entry 1
# LaCrRu, optimized geometry, DFT PBE
# M_tot = 0.001 μB/f.u.
# calculated density = 8.6 g/cm³
data_LaCrRu
_chemical_formula_sum 'La1 Cr1 Ru1'
_symmetry_space_group_name_H-M 'P 1'
_symmetry_Int_Tables_number 1
_symmetry_space_group_name_Hall 'P 1'
_cell_length_a 6.3232
_cell_length_b 6.3232
_cell_length_c 3.0864
_cell_angle_alpha 75.87
_cell_angle_beta 75.87
_cell_angle_gamma 28.25
loop_
_atom_site_label
_atom_site_fract_x
_atom_site_fract_y
_atom_site_fract_z
Cr1 0.9641 0.9642 0.0359
La1 0.6651 0.6651 0.3349
Ru1 0.3708 0.3708 0.6292

Entry 2
# LaCrRu, optimized geometry, DFT PBE
# M_tot = 0.780 μB/f.u.
# calculated density = 7.3 g/cm³
data_LaCrRu
_chemical_formula_sum 'La1 Cr1 Ru1'
_symmetry_space_group_name_H-M 'P 1'
_symmetry_Int_Tables_number 1
_symmetry_space_group_name_Hall 'P 1'
_cell_length_a 4.0181
_cell_length_b 4.0181
_cell_length_c 4.7523
_cell_angle_alpha 90.00
_cell_angle_beta 90.00
_cell_angle_gamma 120.00
loop_
_atom_site_label
_atom_site_fract_x
_atom_site_fract_y
_atom_site_fract_z
Cr1 0.0000 0.0000 0.8333
La1 0.6667 0.3333 0.3332
Ru1 0.3333 0.6667 0.8334

Entry 3
# LaCrRu, optimized geometry, DFT PBE
# M_tot = 3.442 μB/f.u.
# calculated density = 7.1 g/cm³
data_LaCrRu
_chemical_formula_sum 'La1 Cr1 Ru1'
_symmetry_space_group_name_H-M 'P 1'
_symmetry_Int_Tables_number 1
_symmetry_space_group_name_Hall 'P 1'
_cell_length_a 4.5976
_cell_length_b 4.5976
_cell_length_c 4.5976
_cell_angle_alpha 60.00
_cell_angle_beta 60.00
_cell_angle_gamma 60.00
loop_
_atom_site_label
_atom_site_fract_x
_atom_site_fract_y
_atom_site_fract_z
Cr1 0.0000 0.0000 0.0000
La1 0.5000 0.5000 0.5000
Ru1 0.2500 0.2500 0.2500

Relative calculated energies, zero for the most stable structure, unit eV/atom: entry 1 0.073; entry 2 0.000; entry 3 0.282.

Entry 1
# LaCrS2, optimized geometry, DFT PBE
# M_tot = 5.000 μB/f.u.
# calculated density = 3.4 g/cm³
data_LaCrS2
_chemical_formula_sum 'La1 Cr1 S2'
_symmetry_space_group_name_H-M 'P 1'
_symmetry_Int_Tables_number 1
_symmetry_space_group_name_Hall 'P 1'
_cell_length_a 7.9163
_cell_length_b 7.9163
_cell_length_c 7.9163
_cell_angle_alpha 32.15
_cell_angle_beta 32.15
_cell_angle_gamma 32.15
loop_
_atom_site_label
_atom_site_fract_x
_atom_site_fract_y
_atom_site_fract_z
Cr1 0.0000 0.0000 0.0000
S1 0.8961 0.8961 0.8961
S2 0.1039 0.1039 0.1039
La1 0.5000 0.5000 0.5000

Entry 2
# LaCrS2, optimized geometry, DFT PBE
# M_tot = 0.000 μB/f.u.
# calculated density = 5.8 g/cm³
data_LaCrS2
_chemical_formula_sum 'La1 Cr1 S2'
_symmetry_space_group_name_H-M 'P 1'
_symmetry_Int_Tables_number 1
_symmetry_space_group_name_Hall 'P 1'
_cell_length_a 4.6938
_cell_length_b 4.6938
_cell_length_c 4.6938
_cell_angle_alpha 60.00
_cell_angle_beta 60.00
_cell_angle_gamma 60.00
loop_
_atom_site_label
_atom_site_fract_x
_atom_site_fract_y
_atom_site_fract_z
Cr1 0.0000 0.0000 0.0000
S1 0.2500 0.2500 0.2500
S2 0.7500 0.7500 0.7500
La1 0.5000 0.5000 0.5000

Relative calculated energies, zero for the most stable structure, unit eV/atom: entry 1 0.000; entry 2 0.458.

Entry 1
# LaCr3S, optimized geometry, DFT PBE
# M_tot = 4.836 μB/f.u.
# calculated density = 6.3 g/cm³
data_LaCr3S
_chemical_formula_sum 'La1 Cr3 S1'
_symmetry_space_group_name_H-M 'P 1'
_symmetry_Int_Tables_number 1
_symmetry_space_group_name_Hall 'P 1'
_cell_length_a 4.4107
_cell_length_b 4.4107
_cell_length_c 4.4107
_cell_angle_alpha 90.00
_cell_angle_beta 90.00
_cell_angle_gamma 90.00
loop_
_atom_site_label
_atom_site_fract_x
_atom_site_fract_y
_atom_site_fract_z
Cr1 0.0000 0.5000 0.0000
Cr2 0.0000 0.0000 0.5000
Cr3 0.5000 0.0000 0.0000
S1 0.0000 0.0000 0.0000
La1 0.5000 0.5000 0.5000

Entry 2
# LaCr3S, optimized geometry, DFT PBE
# M_tot = 0.002 μB/f.u.
# calculated density = 5.9 g/cm³
data_LaCr3S
_chemical_formula_sum 'La1 Cr3 S1'
_symmetry_space_group_name_H-M 'P 1'
_symmetry_Int_Tables_number 1
_symmetry_space_group_name_Hall 'P 1'
_cell_length_a 4.5224
_cell_length_b 4.5224
_cell_length_c 4.5224
_cell_angle_alpha 90.00
_cell_angle_beta 90.00
_cell_angle_gamma 90.00
loop_
_atom_site_label
_atom_site_fract_x
_atom_site_fract_y
_atom_site_fract_z
Cr1 0.0000 0.5000 0.0000
Cr2 0.0000 0.0000 0.5000
Cr3 0.5000 0.0000 0.0000
S1 0.5000 0.5000 0.5000
La1 0.0000 0.0000 0.0000

Relative calculated energies, zero for the most stable structure, unit eV/atom: entry 1 0.000; entry 2 2.048.

Entry 1
# La2CrSe2, optimized geometry, DFT PBE
# M_tot = 0.000 μB/f.u.
# calculated density = 6.9 g/cm³
data_La2CrSe2
_chemical_formula_sum 'La4 Cr2 Se4'
_symmetry_space_group_name_H-M 'P 1'
_symmetry_Int_Tables_number 1
_symmetry_space_group_name_Hall 'P 1'
_cell_length_a 7.4628
_cell_length_b 7.4628
_cell_length_c 4.2435
_cell_angle_alpha 90.00
_cell_angle_beta 90.00
_cell_angle_gamma 90.00
loop_
_atom_site_label
_atom_site_fract_x
_atom_site_fract_y
_atom_site_fract_z
Cr1 0.0000 0.0000 0.0000
Cr2 0.5000 0.5000 0.0000
Se1 0.3451 0.8451 0.0000
Se2 0.8451 0.6549 0.0000
Se3 0.6549 0.1549 0.0000
Se4 0.1549 0.3451 0.0000
La1 0.1612 0.6612 0.5000
La2 0.6612 0.8388 0.5000
La3 0.8388 0.3388 0.5000
La4 0.3388 0.1612 0.5000

Entry 2
# La2CrSe2, optimized geometry, DFT PBE
# M_tot = 4.768 μB/f.u.
# calculated density = 5.4 g/cm³
data_La2CrSe2
_chemical_formula_sum 'La2 Cr1 Se2'
_symmetry_space_group_name_H-M 'P 1'
_symmetry_Int_Tables_number 1
_symmetry_space_group_name_Hall 'P 1'
_cell_length_a 5.9623
_cell_length_b 5.9623
_cell_length_c 5.9769
_cell_angle_alpha 60.08
_cell_angle_beta 60.08
_cell_angle_gamma 90.00
loop_
_atom_site_label
_atom_site_fract_x
_atom_site_fract_y
_atom_site_fract_z
Cr1 0.0000 0.0000 0.0000
Se1 0.2920 0.2920 0.4159
Se2 0.7080 0.7080 0.5841
La1 0.7500 0.2500 0.5000
La2 0.2500 0.7500 0.5000

Relative calculated energies, zero for the most stable structure, unit eV/atom: entry 1 0.126; entry 2 0.000.

Entry 1
# LaCrSe, optimized geometry, DFT PBE
# M_tot = 3.664 μB/f.u.
# calculated density = 6.5 g/cm³
data_LaCrSe
_chemical_formula_sum 'La1 Cr1 Se1'
_symmetry_space_group_name_H-M 'P 1'
_symmetry_Int_Tables_number 1
_symmetry_space_group_name_Hall 'P 1'
_cell_length_a 4.4279
_cell_length_b 4.4279
_cell_length_c 4.0541
_cell_angle_alpha 90.00
_cell_angle_beta 90.00
_cell_angle_gamma 120.00
loop_
_atom_site_label
_atom_site_fract_x
_atom_site_fract_y
_atom_site_fract_z
Cr1 0.0000 0.0000 0.8336
La1 0.3333 0.6667 0.3333
Se1 0.6667 0.3333 0.8330

Entry 2
# LaCrSe, optimized geometry, DFT PBE
# M_tot = 5.072 μB/f.u.
# calculated density = 4.8 g/cm³
data_LaCrSe
_chemical_formula_sum 'La1 Cr1 Se1'
_symmetry_space_group_name_H-M 'P 1'
_symmetry_Int_Tables_number 1
_symmetry_space_group_name_Hall 'P 1'
_cell_length_a 5.0867
_cell_length_b 5.0867
_cell_length_c 5.0867
_cell_angle_alpha 60.00
_cell_angle_beta 60.00
_cell_angle_gamma 60.00
loop_
_atom_site_label
_atom_site_fract_x
_atom_site_fract_y
_atom_site_fract_z
Cr1 0.5000 0.5000 0.5000
La1 0.2500 0.2500 0.2500
Se1 0.0000 0.0000 0.0000

Relative calculated energies, zero for the most stable structure, unit eV/atom: entry 1 0.000; entry 2 0.555.

Entry 1
# LaCrSe, optimized geometry, DFT PBE
# M_tot = 4.066 μB/f.u.
# calculated density = 6.3 g/cm³
data_LaCrSe
_chemical_formula_sum 'La1 Cr1 Se1'
_symmetry_space_group_name_H-M 'P 1'
_symmetry_Int_Tables_number 1
_symmetry_space_group_name_Hall 'P 1'
_cell_length_a 5.9578
_cell_length_b 5.9577
_cell_length_c 3.6221
_cell_angle_alpha 72.30
_cell_angle_beta 72.30
_cell_angle_gamma 35.39
loop_
_atom_site_label
_atom_site_fract_x
_atom_site_fract_y
_atom_site_fract_z
Cr1 0.0355 0.0355 0.9645
La1 0.3377 0.3377 0.6623
Se1 0.6268 0.6268 0.3732

Entry 2
# LaCrSe, optimized geometry, DFT PBE
# M_tot = 4.733 μB/f.u.
# calculated density = 5.6 g/cm³
data_LaCrSe
_chemical_formula_sum 'La1 Cr1 Se1'
_symmetry_space_group_name_H-M 'P 1'
_symmetry_Int_Tables_number 1
_symmetry_space_group_name_Hall 'P 1'
_cell_length_a 4.8494
_cell_length_b 4.8494
_cell_length_c 4.8494
_cell_angle_alpha 60.00
_cell_angle_beta 60.00
_cell_angle_gamma 60.00
loop_
_atom_site_label
_atom_site_fract_x
_atom_site_fract_y
_atom_site_fract_z
Cr1 0.0000 0.0000 0.0000
La1 0.5000 0.5000 0.5000
Se1 0.2500 0.2500 0.2500

Relative calculated energies, zero for the most stable structure, unit eV/atom: entry 1 0.000; entry 2 0.075.